Crystalline Ta2InBr at its relaxed geometry. Source: the Alexandria database, functional GGA-PBE.

a = 3.4166 Å, b = 3.4166 Å, c = 8.0877 Å
α = 90.00°, β = 90.00°, γ = 90.00°
Positions (direct):
Ta  0.0000  0.0000  0.0000
Ta  0.5000  0.5000  0.1657
In  0.5000  0.5000  0.7769
Br  0.0000  0.0000  0.3874

Calculated values
- E_tot: -6.776 eV per atom
- Calculated density: 9.79 Mg/m³
- Relative energy among the computed polymorphs: 0.182 eV/atom
- Raw formation energy: 253 meV/atom
- Fermi-level density of states: 2.87 states/eV per cell
- Symmetry: P4mm (99)
- Spin magnetization: 0.00 μB per formula unit

Crystalline SbTePbI2 at its relaxed geometry. Source: the Alexandria database, functional GGA-PBE.

a = 5.8928 Å, b = 5.8928 Å, c = 6.0294 Å
α = 90.00°, β = 90.00°, γ = 90.00°
Positions (direct):
Sb  0.0000  0.0000  0.0000
Te  0.0000  0.0000  0.5000
Pb  0.5000  0.5000  0.0000
I  0.0000  0.5000  0.5000
I  0.5000  0.0000  0.5000

Calculated values
- E_tot: -2.430 eV per atom
- Calculated density: 5.63 Mg/m³
- Relative energy among the computed polymorphs: 0.254 eV/atom
- Raw formation energy: 384 meV/atom
- Fermi-level density of states: 3.67 states/eV per cell
- Symmetry: P4/mmm (123)
- Spin magnetization: 0.00 μB per formula unit

Crystalline RbBe4As3 at its relaxed geometry. Source: the Alexandria database, functional GGA-PBE.

a = 3.7918 Å, b = 3.7918 Å, c = 10.1712 Å
α = 90.00°, β = 90.00°, γ = 90.00°
Positions (direct):
Rb  0.0000  0.0000  0.0000
Be  0.0000  0.5000  0.3553
Be  0.0000  0.5000  0.6447
Be  0.5000  0.0000  0.3553
Be  0.5000  0.0000  0.6447
As  0.0000  0.0000  0.5000
As  0.5000  0.5000  0.2332
As  0.5000  0.5000  0.7668

Calculated values
- E_tot: -3.977 eV per atom
- Calculated density: 3.93 Mg/m³
- Symmetry: P4/mmm (123)
- Spin magnetization: 0.00 μB per formula unit

Crystalline LaTb6Tm2Mg at its relaxed geometry. Source: the Alexandria database, functional GGA-PBE.

a = 8.8581 Å, b = 8.8581 Å, c = 9.1895 Å
α = 90.33°, β = 90.33°, γ = 117.28°
Positions (direct):
La  0.0117  0.9883  0.7500
La  0.9883  0.0117  0.2500
Tb  0.0020  0.4070  0.2445
Tb  0.1970  0.7861  0.4400
Tb  0.2139  0.8030  0.0600
Tb  0.2496  0.4563  0.5845
Tb  0.4070  0.0020  0.7445
Tb  0.4563  0.2496  0.0845
Tb  0.5437  0.7504  0.9155
Tb  0.5930  0.9980  0.2555
Tb  0.7504  0.5437  0.4155
Tb  0.7861  0.1970  0.9400
Tb  0.8030  0.2139  0.5600
Tb  0.9980  0.5930  0.7555
Tm  0.2067  0.3875  0.9441
Tm  0.3875  0.2067  0.4441
Tm  0.6125  0.7933  0.5559
Tm  0.7933  0.6125  0.0559
Mg  0.4294  0.5706  0.2500
Mg  0.5706  0.4294  0.7500

Calculated values
- E_tot: -4.206 eV per atom
- Calculated density: 7.54 Mg/m³
- Fermi-level density of states: 24.48 states/eV per cell
- Symmetry: C2/c (15)
- Spin magnetization: 0.00 μB per formula unit

Crystalline K5Rb2Cd at its relaxed geometry. Source: the Alexandria database, functional GGA-PBE.

a = 12.0423 Å, b = 12.0457 Å, c = 10.5359 Å
α = 90.00°, β = 124.75°, γ = 90.00°
Positions (direct):
K  0.0000  0.0000  0.0000
K  0.0096  0.5000  0.9999
K  0.2547  0.2548  0.0000
K  0.2547  0.7452  0.0000
K  0.4327  0.0000  0.3568
K  0.5000  0.5000  0.0000
K  0.5096  0.0000  0.9999
K  0.7547  0.2452  0.0000
K  0.7547  0.7548  0.0000
K  0.9327  0.5000  0.3568
Rb  0.2827  0.2500  0.5563
Rb  0.2827  0.7500  0.5563
Rb  0.7827  0.2500  0.5563
Rb  0.7827  0.7500  0.5563
Cd  0.1325  0.5000  0.7534
Cd  0.6325  0.0000  0.7534

Calculated values
- E_tot: -0.973 eV per atom
- Calculated density: 1.27 Mg/m³
- Fermi-level density of states: 11.75 states/eV per cell
- Symmetry: Cm (8)
- Spin magnetization: 0.00 μB per formula unit

Crystalline CeDy2Ir at its relaxed geometry. Source: the Alexandria database, functional GGA-PBE.

a = 3.9291 Å, b = 3.9291 Å, c = 27.4245 Å
α = 90.00°, β = 90.00°, γ = 120.00°
Positions (direct):
Ce  0.0000  0.0000  0.0000
Ce  0.3333  0.6667  0.6667
Ce  0.6667  0.3333  0.3333
Dy  0.0000  0.0000  0.2249
Dy  0.0000  0.0000  0.4456
Dy  0.3333  0.6667  0.1123
Dy  0.3333  0.6667  0.8916
Dy  0.6667  0.3333  0.5582
Dy  0.6667  0.3333  0.7790
Ir  0.0000  0.0000  0.8354
Ir  0.3333  0.6667  0.5020
Ir  0.6667  0.3333  0.1687

Calculated values
- E_tot: -6.263 eV per atom
- Calculated density: 8.93 Mg/m³
- Relative energy among the computed polymorphs: 0.253 eV/atom
- Fermi-level density of states: 25.90 states/eV per cell
- Symmetry: R3m (160)
- Spin magnetization: 1.78 μB per formula unit

Crystalline BaZrPS2 at its relaxed geometry. Source: the Alexandria database, functional GGA-PBE.

a = 5.1794 Å, b = 5.1794 Å, c = 4.8528 Å
α = 90.00°, β = 90.00°, γ = 90.00°
Positions (direct):
Ba  0.0000  0.0000  0.0000
Zr  0.5000  0.5000  0.0000
P  0.5000  0.5000  0.5000
S  0.0000  0.5000  0.5000
S  0.5000  0.0000  0.5000

Calculated values
- E_tot: -5.049 eV per atom
- Calculated density: 4.13 Mg/m³
- Relative energy among the computed polymorphs: 1.082 eV/atom
- Raw formation energy: -222 meV/atom
- Fermi-level density of states: 4.20 states/eV per cell
- Symmetry: P4/mmm (123)
- Spin magnetization: 1.92 μB per formula unit

Crystalline CrHgIr2 at its relaxed geometry. Source: the Alexandria database, functional GGA-PBE.

a = 2.8332 Å, b = 3.4261 Å, c = 6.5196 Å
α = 90.00°, β = 90.00°, γ = 90.00°
Positions (direct):
Cr  0.0000  0.0000  0.0000
Hg  0.0000  0.0000  0.5000
Ir  0.5000  0.5000  0.2063
Ir  0.5000  0.5000  0.7937

Calculated values
- E_tot: -6.701 eV per atom
- Calculated density: 16.72 Mg/m³
- Fermi-level density of states: 3.00 states/eV per cell
- Symmetry: Pmmm (47)
- Spin magnetization: 1.68 μB per formula unit

Crystalline Na8B13C3 at its relaxed geometry. Source: the Alexandria database, functional GGA-PBE.

a = 17.6259 Å, b = 17.6259 Å, c = 17.6259 Å
α = 170.88°, β = 19.64°, γ = 162.64°
Positions (direct):
Na  0.0618  0.0000  0.0618
Na  0.1885  0.0012  0.1873
Na  0.3146  0.0016  0.3130
Na  0.4412  0.0037  0.4374
Na  0.5663  0.0037  0.5626
Na  0.6886  0.0016  0.6870
Na  0.8138  0.0012  0.8127
Na  0.9382  0.0000  0.9382
B  0.0124  0.6369  0.3755
B  0.0960  0.3466  0.7494
B  0.1523  0.6523  0.5000
B  0.2259  0.3505  0.8754
B  0.2614  0.6369  0.6245
B  0.3666  0.3666  0.0000
B  0.4068  0.6560  0.7507
B  0.4751  0.3505  0.1246
B  0.5590  0.6836  0.8755
B  0.5972  0.3466  0.2506
B  0.8081  0.6836  0.1245
B  0.8206  0.3206  0.5000
B  0.9053  0.6560  0.2493
C  0.6634  0.6634  0.0000
C  0.7156  0.3400  0.3756
C  0.9644  0.3400  0.6244

Calculated values
- E_tot: -5.016 eV per atom
- Calculated density: 2.31 Mg/m³
- Relative energy among the computed polymorphs: 0.011 eV/atom
- Fermi-level density of states: 5.49 states/eV per cell
- Symmetry: Imm2 (44)
- Spin magnetization: 0.00 μB per formula unit

Crystalline TaW2Se2 at its relaxed geometry. Source: the Alexandria database, functional GGA-PBE.

a = 7.2309 Å, b = 7.2309 Å, c = 3.1728 Å
α = 90.00°, β = 90.00°, γ = 90.00°
Positions (direct):
Ta  0.0000  0.0000  0.0000
Ta  0.5000  0.5000  0.0000
W  0.1406  0.3594  0.5000
W  0.3594  0.8594  0.5000
W  0.6406  0.1406  0.5000
W  0.8594  0.6406  0.5000
Se  0.1617  0.6617  0.0000
Se  0.3383  0.1617  0.0000
Se  0.6617  0.8383  0.0000
Se  0.8383  0.3383  0.0000

Calculated values
- E_tot: -8.372 eV per atom
- Calculated density: 14.14 Mg/m³
- Relative energy among the computed polymorphs: 0.000 eV/atom
- Raw formation energy: 574 meV/atom
- Fermi-level density of states: 11.32 states/eV per cell
- Symmetry: P4/mbm (127)
- Spin magnetization: 0.00 μB per formula unit

Crystalline Ca2Zr at its relaxed geometry. Source: the Alexandria database, functional GGA-PBE.

a = 5.7216 Å, b = 5.7216 Å, c = 6.9360 Å
α = 90.00°, β = 90.00°, γ = 120.00°
Positions (direct):
Ca  0.0000  0.0000  0.0000
Ca  0.0000  0.0000  0.5000
Ca  0.3333  0.6667  0.2500
Ca  0.6667  0.3333  0.7500
Zr  0.3333  0.6667  0.7500
Zr  0.6667  0.3333  0.2500

Calculated values
- E_tot: -3.625 eV per atom
- Calculated density: 2.89 Mg/m³
- Relative energy among the computed polymorphs: 0.317 eV/atom
- Fermi-level density of states: 12.34 states/eV per cell
- Symmetry: P6_3/mmc (194)
- Spin magnetization: 2.04 μB per formula unit

Crystalline ScTaFeRe at its relaxed geometry. Source: the Alexandria database, functional GGA-PBE.

a = 6.3124 Å, b = 6.3124 Å, c = 6.3124 Å
α = 90.00°, β = 90.00°, γ = 90.00°
Positions (direct):
Sc  0.0000  0.0000  0.0000
Sc  0.0000  0.5000  0.5000
Sc  0.5000  0.0000  0.5000
Sc  0.5000  0.5000  0.0000
Ta  0.0000  0.0000  0.5000
Ta  0.0000  0.5000  0.0000
Ta  0.5000  0.0000  0.0000
Ta  0.5000  0.5000  0.5000
Fe  0.2500  0.2500  0.7500
Fe  0.2500  0.7500  0.2500
Fe  0.7500  0.2500  0.2500
Fe  0.7500  0.7500  0.7500
Re  0.2500  0.2500  0.2500
Re  0.2500  0.7500  0.7500
Re  0.7500  0.2500  0.7500
Re  0.7500  0.7500  0.2500

Calculated values
- E_tot: -9.950 eV per atom
- Calculated density: 12.36 Mg/m³
- Fermi-level density of states: 13.25 states/eV per cell
- Symmetry: F-43m (216)
- Spin magnetization: 0.47 μB per formula unit

- calculated density of number 12 (ScTaFeRe)?
  12.36 Mg/m³

- The lowest calculated density belongs to which entry?
  K5Rb2Cd